Compound: Li5Ag2HgAu2
Source: the Alexandria database
Functional: PBE
Structure: relaxed

Properties
Size of the total moment = 0.00 μB/cell
E_tot = -2.494 eV/atom
Energy of formation = -0.28 eV/atom
Volume = 353.5 Å³/cell

The structure in POSCAR format:
```
Li5Ag2HgAu2
1.0
3.6354 0.0000 0.0000
0.0000 9.8606 0.0000
0.0000 0.0000 9.8606
Li Ag Hg Au
10 4 2 4
Cartesian
1.8177 1.7636 1.1287
1.8177 8.0971 8.7320
1.8177 1.1287 8.0971
1.8177 6.6939 3.8016
1.8177 8.7320 1.7636
1.8177 3.1667 6.0590
1.8177 6.0590 6.6939
1.8177 3.8016 3.1667
1.8177 4.9303 0.0000
1.8177 0.0000 4.9303
0.0000 6.5050 1.5747
0.0000 3.3556 8.2859
0.0000 1.5747 3.3556
0.0000 8.2859 6.5050
0.0000 0.0000 0.0000
0.0000 4.9303 4.9303
0.0000 1.3108 6.2411
0.0000 8.5498 3.6195
0.0000 6.2411 8.5498
0.0000 3.6195 1.3108
```